No. 1
Material: Bi3Pd4
Method: DFT, PBE
State: relaxed

Computed properties:
- final energy (eV/atom) = -4.878
- magnetization (μB/f.u.) = 0.00
- ΔE_f (meV/atom) = -246.9

Lattice parameters (Å, degrees): 22.747 3.584 3.584 90.00 99.00 90.00
Space group C2/m (No. 12)
Unique sites:
Bi 0.000 0.000 0.000 (multiplicity 2)
Bi 0.154 0.000 0.154 (multiplicity 4)
Pd 0.078 0.500 0.577 (multiplicity 4)
Pd 0.217 0.500 0.717 (multiplicity 4)

=====

No. 2
Material: Er6CuNi5
Method: DFT, PBE
State: relaxed

Computed properties:
- final energy (eV/atom) = -5.436
- magnetization (μB/f.u.) = 0.00
- ΔE_f (meV/atom) = -404.0

Lattice parameters (Å, degrees): 4.753 14.200 6.729 90.00 90.00 90.00
Space group Cmmm (No. 65)
Unique sites:
Er 0.000 0.000 0.246 (multiplicity 4)
Er 0.000 0.332 0.248 (multiplicity 8)
Cu 0.000 0.500 0.500 (multiplicity 2)
Ni 0.000 0.166 0.500 (multiplicity 4)
Ni 0.000 0.167 0.000 (multiplicity 4)
Ni 0.000 0.500 0.000 (multiplicity 2)

=====

No. 3
Material: BaGaIr2O8
Method: DFT, PBE
State: relaxed

Computed properties:
- final energy (eV/atom) = -6.173
- ΔE_f (raw) (eV per atom) = -0.978
- magnetization (μB/f.u.) = 1.05

Lattice parameters (Å, degrees): 5.3310 5.3310 7.6247 90.00 90.00 120.00
Space group P-3 (No. 147)
Unique sites:
Ba 0.0000 0.0000 0.0000 (multiplicity 1)
Ga 0.0000 0.0000 0.5000 (multiplicity 1)
Ir 0.3333 0.6667 0.6973 (multiplicity 2)
O 0.0194 0.2972 0.6671 (multiplicity 6)
O 0.3333 0.6667 0.9417 (multiplicity 2)

=====

No. 4
Material: HoGa2SiPd4
Method: DFT, PBE
State: relaxed

Computed properties:
- final energy (eV/atom) = -5.289
- ΔE_f (raw) (eV per atom) = -0.686
- magnetization (μB/f.u.) = 0.00

Lattice parameters (Å, degrees): 4.3455 4.3455 24.6594 90.00 90.00 120.00
Space group R-3m (No. 166, hexagonal axes)
Unique sites:
Ho 0.0000 0.0000 0.0000 (multiplicity 3)
Ga 0.0000 0.0000 0.2540 (multiplicity 6)
Si 0.0000 0.0000 0.5000 (multiplicity 3)
Pd 0.0000 0.0000 0.1363 (multiplicity 6)
Pd 0.0000 0.0000 0.4032 (multiplicity 6)

=====

No. 5
Material: TiGeMo3
Method: DFT, PBE
State: relaxed

Computed properties:
- final energy (eV/atom) = -7.494
- magnetization (μB/f.u.) = 0.00
- ΔE_f (meV/atom) = 1507.0

Lattice parameters (Å, degrees): 4.569 4.569 4.569 90.00 90.00 90.00
Space group Pm-3m (No. 221)
Unique sites:
Ti 0.000 0.000 0.000 (multiplicity 1)
Ge 0.500 0.500 0.500 (multiplicity 1)
Mo 0.000 0.000 0.500 (multiplicity 3)

=====

No. 6
Material: KPdIO2
Method: DFT, PBE
State: relaxed

Computed properties:
- final energy (eV/atom) = -2.652
- ΔE_f (raw) (eV per atom) = 0.899
- magnetization (μB/f.u.) = 0.41

Lattice parameters (Å, degrees): 4.489 4.489 7.128 90.00 90.00 90.00
Space group P4/mmm (No. 123)
Unique sites:
K 0.000 0.000 0.000 (multiplicity 1)
Pd 0.500 0.500 0.500 (multiplicity 1)
I 0.000 0.000 0.500 (multiplicity 1)
O 0.000 0.500 0.000 (multiplicity 2)

=====

No. 7
Material: PaSO4
Method: DFT, PBE
State: relaxed

Computed properties:
- final energy (eV/atom) = -7.825
- ΔE_f (raw) (eV per atom) = -2.249
- magnetization (μB/f.u.) = 1.01

Lattice parameters (Å, degrees): 5.733 6.860 7.054 60.96 78.91 66.60
Space group P-1 (No. 2)
Unique sites:
Pa 0.250 0.077 0.346 (multiplicity 2)
S 0.250 0.598 0.304 (multiplicity 2)
O 0.138 0.789 0.611 (multiplicity 2)
O 0.240 0.487 0.162 (multiplicity 2)
O 0.260 0.851 0.162 (multiplicity 2)
O 0.363 0.100 0.611 (multiplicity 2)

=====

No. 8
Material: LaTm8Th2
Method: DFT, PBE
State: relaxed

Computed properties:
- final energy (eV/atom) = -4.883
- magnetization (μB/f.u.) = 0.00
- ΔE_f (meV/atom) = 166.5

Lattice parameters (Å, degrees): 19.024 6.956 5.492 90.00 92.18 90.00
Space group C2/m (No. 12)
Unique sites:
La 0.000 0.000 0.000 (multiplicity 2)
Tm 0.047 0.500 0.240 (multiplicity 4)
Tm 0.133 0.270 0.736 (multiplicity 8)
Tm 0.184 0.000 0.235 (multiplicity 4)
Th 0.217 0.500 0.256 (multiplicity 4)

=====

No. 9
Material: CoHIr3
Method: DFT, PBE
State: relaxed

Computed properties:
- final energy (eV/atom) = -7.198
- magnetization (μB/f.u.) = 2.92

Lattice parameters (Å, degrees): 3.883 3.883 3.883 90.00 90.00 90.00
Space group Pm-3m (No. 221)
Unique sites:
Co 0.000 0.000 0.000 (multiplicity 1)
H 0.500 0.500 0.500 (multiplicity 1)
Ir 0.000 0.500 0.500 (multiplicity 3)

=====

No. 10
Material: La3Al3Ga8
Method: DFT, PBE
State: relaxed

Computed properties:
- final energy (eV/atom) = -4.094
- magnetization (μB/f.u.) = 0.00
- ΔE_f (meV/atom) = -506.5

Lattice parameters (Å, degrees): 4.348 10.079 13.235 90.00 90.00 90.00
Space group Immm (No. 71)
Unique sites:
La 0.000 0.000 0.000 (multiplicity 2)
La 0.000 0.000 0.316 (multiplicity 4)
Al 0.000 0.218 0.500 (multiplicity 4)
Al 0.000 0.500 0.000 (multiplicity 2)
Ga 0.000 0.276 0.139 (multiplicity 8)
Ga 0.000 0.369 0.336 (multiplicity 8)

=====

No. 11
Material: TbBi3
Method: DFT, PBE
State: relaxed

Computed properties:
- final energy (eV/atom) = -3.846
- magnetization (μB/f.u.) = 0.00
- ΔE_f (meV/atom) = 222.0

Lattice parameters (Å, degrees): 6.422 10.576 5.981 90.00 90.00 90.00
Space group Cmmm (No. 65)
Unique sites:
Tb 0.000 0.000 0.000 (multiplicity 2)
Bi 0.000 0.000 0.500 (multiplicity 2)
Bi 0.250 0.250 0.000 (multiplicity 4)

=====

No. 12
Material: RbTiGa
Method: DFT, PBE
State: relaxed

Computed properties:
- final energy (eV/atom) = -3.601
- magnetization (μB/f.u.) = 0.55
- ΔE_f (meV/atom) = 362.3

Lattice parameters (Å, degrees): 4.592 6.863 7.414 112.91 101.23 104.04
Space group P-1 (No. 2)
Unique sites:
Rb 0.207 0.209 0.416 (multiplicity 2)
Ti 0.188 0.432 0.000 (multiplicity 2)
Ga 0.413 0.810 0.000 (multiplicity 2)